A plane-wave DFT calculation with PBE-GGA was carried out for a relaxed structure of KLi2ICl2.

Computed properties:
formation energy (no corrections): -1.63 eV/atom
calculated total energy: -3.326 eV per atom
calculated volume: 376 Å³ per cell

Unit cell a=6.888 b=6.107 c=9.503 alpha=90.00 beta=109.76 gamma=90.00
Space group P2_1/m (No. 11)
Inequivalent atoms, fractional coordinates:
K 0.136 0.250 0.371 [2 per cell]
Li 0.384 0.004 0.810 [4 per cell]
I 0.273 0.750 0.022 [2 per cell]
Cl 0.120 0.250 0.695 [2 per cell]
Cl 0.421 0.750 0.642 [2 per cell]

---

A plane-wave DFT calculation with PBE-GGA was carried out for a relaxed structure of AgSbCl.

Computed properties:
formation energy (no corrections): 0.26 eV/atom
calculated total energy: -2.676 eV per atom
calculated volume: 330 Å³ per cell

Unit cell a=6.914 b=6.914 c=6.914 alpha=90.00 beta=90.00 gamma=90.00
Space group F-43m (No. 216)
Inequivalent atoms, fractional coordinates:
Ag 0.000 0.000 0.000 [4 per cell]
Sb 0.250 0.250 0.750 [4 per cell]
Cl 0.000 0.000 0.500 [4 per cell]

---

A plane-wave DFT calculation with PBE-GGA was carried out for a relaxed structure of La2Dy9Er.

Computed properties:
calculated total energy: -4.564 eV per atom
E_form: 89 meV per atom
calculated volume: 387 Å³ per cell

Unit cell a=11.3414 b=11.3414 c=3.4768 alpha=90.00 beta=90.00 gamma=120.00
Space group P6/mmm (No. 191)
Inequivalent atoms, fractional coordinates:
La 0.3333 0.6667 0.0000 [2 per cell]
Dy 0.0000 0.5000 0.0000 [3 per cell]
Dy 0.1709 0.3418 0.5000 [6 per cell]
Er 0.0000 0.0000 0.0000 [1 per cell]

---

A plane-wave DFT calculation with PBE-GGA was carried out for a relaxed structure of KEuCl2.

Computed properties:
formation energy (no corrections): -1.59 eV/atom
calculated total energy: -5.360 eV per atom
calculated volume: 109 Å³ per cell

Unit cell a=3.715 b=3.715 c=7.883 alpha=90.00 beta=90.00 gamma=90.00
Space group P4/mmm (No. 123)
Inequivalent atoms, fractional coordinates:
K 0.000 0.000 0.000 [1 per cell]
Eu 0.000 0.000 0.500 [1 per cell]
Cl 0.500 0.500 0.259 [2 per cell]

---

A plane-wave DFT calculation with PBE-GGA was carried out for a relaxed structure of BaBe2Mo2.

Computed properties:
calculated total energy: -5.701 eV per atom
E_form: 507 meV per atom
calculated volume: 198 Å³ per cell

Unit cell a=3.861 b=3.861 c=13.264 alpha=90.00 beta=90.00 gamma=90.00
Space group I4/mmm (No. 139)
Inequivalent atoms, fractional coordinates:
Ba 0.000 0.000 0.000 [2 per cell]
Be 0.000 0.000 0.361 [4 per cell]
Mo 0.000 0.500 0.250 [4 per cell]

---

A plane-wave DFT calculation with PBE-GGA was carried out for a relaxed structure of Rb2Ba8MgSb6O2.

Computed properties:
formation energy (no corrections): -1.14 eV/atom
calculated total energy: -3.954 eV per atom
calculated volume: 2962 Å³ per cell

Unit cell a=12.767 b=16.977 c=13.666 alpha=90.00 beta=90.00 gamma=90.00
Space group Fmm2 (No. 42)
Inequivalent atoms, fractional coordinates:
Rb 0.241 0.000 0.000 [8 per cell]
Ba 0.000 0.154 0.100 [8 per cell]
Ba 0.000 0.188 0.398 [8 per cell]
Ba 0.154 0.143 0.741 [16 per cell]
Mg 0.000 0.000 0.421 [4 per cell]
Sb 0.000 0.000 0.616 [4 per cell]
Sb 0.000 0.000 0.884 [4 per cell]
Sb 0.117 0.000 0.248 [8 per cell]
Sb 0.250 0.250 0.001 [8 per cell]
O 0.000 0.241 0.740 [8 per cell]

---

A plane-wave DFT calculation with PBE-GGA was carried out for a relaxed structure of TiZn.

Computed properties:
calculated total energy: -3.220 eV per atom
E_form: 1365 meV per atom
calculated volume: 356 Å³ per cell

Unit cell a=7.090 b=7.090 c=7.090 alpha=90.00 beta=90.00 gamma=90.00
Space group Pm-3n (No. 223)
Inequivalent atoms, fractional coordinates:
Ti 0.000 0.250 0.500 [6 per cell]
Zn 0.000 0.500 0.250 [6 per cell]

---

A plane-wave DFT calculation with PBE-GGA was carried out for a relaxed structure of Y3PbCl.

Computed properties:
formation energy (no corrections): -0.51 eV/atom
calculated total energy: -5.504 eV per atom
calculated volume: 138 Å³ per cell

Unit cell a=5.170 b=5.170 c=5.170 alpha=90.00 beta=90.00 gamma=90.00
Space group Pm-3m (No. 221)
Inequivalent atoms, fractional coordinates:
Y 0.000 0.000 0.500 [3 per cell]
Pb 0.500 0.500 0.500 [1 per cell]
Cl 0.000 0.000 0.000 [1 per cell]

---

A plane-wave DFT calculation with PBE-GGA was carried out for a relaxed structure of ZrOs3Pb.

Computed properties:
calculated total energy: -6.986 eV per atom
E_form: 2203 meV per atom
calculated volume: 119 Å³ per cell

Unit cell a=4.917 b=4.917 c=4.917 alpha=90.00 beta=90.00 gamma=90.00
Space group Pm-3m (No. 221)
Inequivalent atoms, fractional coordinates:
Zr 0.000 0.000 0.000 [1 per cell]
Os 0.000 0.000 0.500 [3 per cell]
Pb 0.500 0.500 0.500 [1 per cell]

---

A plane-wave DFT calculation with PBE-GGA was carried out for a relaxed structure of InSiSe2.

Computed properties:
formation energy (no corrections): 0.37 eV/atom
calculated total energy: -3.412 eV per atom
calculated volume: 171 Å³ per cell

Unit cell a=5.739 b=10.391 c=3.036 alpha=90.00 beta=109.07 gamma=90.00
Space group C2/m (No. 12)
Inequivalent atoms, fractional coordinates:
In 0.000 0.000 0.000 [2 per cell]
Si 0.000 0.500 0.000 [2 per cell]
Se 0.250 0.250 0.500 [4 per cell]

---

A plane-wave DFT calculation with PBE-GGA was carried out for a relaxed structure of Ce2HfPb.

Computed properties:
calculated total energy: -6.514 eV per atom
E_form: -132 meV per atom
calculated volume: 102 Å³ per cell

Unit cell a=4.493 b=4.493 c=5.040 alpha=90.00 beta=90.00 gamma=90.00
Space group P4/mmm (No. 123)
Inequivalent atoms, fractional coordinates:
Ce 0.000 0.500 0.000 [2 per cell]
Hf 0.000 0.000 0.500 [1 per cell]
Pb 0.500 0.500 0.500 [1 per cell]

---

A plane-wave DFT calculation with PBE-GGA was carried out for a relaxed structure of Ac8RuPt3I3.

Computed properties:
formation energy (no corrections): -1.00 eV/atom
calculated total energy: -5.330 eV per atom
calculated volume: 1184 Å³ per cell

Unit cell a=15.384 b=8.897 c=10.064 alpha=90.00 beta=120.73 gamma=90.00
Space group C2/m (No. 12)
Inequivalent atoms, fractional coordinates:
Ac 0.020 0.242 0.317 [8 per cell]
Ac 0.223 0.000 0.683 [4 per cell]
Ac 0.228 0.500 0.685 [4 per cell]
Ru 0.000 0.000 0.500 [2 per cell]
Pt 0.000 0.500 0.500 [2 per cell]
Pt 0.250 0.250 0.500 [4 per cell]
I 0.000 0.000 0.000 [2 per cell]
I 0.250 0.250 0.000 [4 per cell]